! GGA-PBE Li2PrBiS4, relaxed; values from VASP
&SYSTEM
  ibrav = 0, nat = 16, ntyp = 4
/
ATOMIC_SPECIES
Li 6.94 Li.upf
S 32.06 S.upf
Bi 208.98 Bi.upf
Pr 140.91 Pr.upf
ATOMIC_POSITIONS angstrom
Li -2.6097 2.0220 2.2319
Li -3.4228 -4.4802 -0.0883
Li -3.9025 -0.5556 -0.5808
Li 1.2928 2.5775 2.8127
S -3.8136 -4.1937 2.6673
S 0.8248 2.9235 5.5493
S -2.9903 2.3730 4.9713
S -1.2698 -6.1783 0.4774
S -0.4464 0.3883 2.7815
S -5.0848 -6.7288 -0.1006
S -4.3078 -0.1855 2.1525
S 0.0478 -3.6198 3.2962
Bi -2.1300 -1.9027 2.7244
Bi -5.2193 4.0439 4.4638
Pr -6.0325 -2.4583 2.1435
Pr 0.4797 -3.9246 0.4925
CELL_PARAMETERS angstrom
-7.8050 -1.1112 -1.1616
0.9593 -7.8493 0.9849
2.5856 5.1551 5.6254
! E: -4.870 eV/atom
! Symmetry: Imma (74)


! GGA-PBE ReF3, relaxed; values from VASP
&SYSTEM
  ibrav = 0, nat = 8, ntyp = 2
/
ATOMIC_SPECIES
F 19.00 F.upf
Re 186.21 Re.upf
ATOMIC_POSITIONS angstrom
F 0.5813 2.9478 1.7440
F 2.9478 2.5466 5.2319
F 3.3491 0.9826 1.7440
F 1.9652 1.9652 0.0000
F 4.9130 5.3143 5.2319
F 1.9652 3.9304 3.4879
Re 0.0000 0.0000 0.0000
Re 3.9304 1.9652 3.4879
CELL_PARAMETERS angstrom
3.9304 0.0000 0.0000
0.0000 3.9304 0.0000
1.9652 1.9652 6.9759
! Relative energy among the computed polymorphs: 52 meV per atom
! E: -5.163 eV/atom
! Symmetry: I-42d (122)